VASP calculation (PBE) on a relaxed structure of La3Mg2Cd.

Summary:
SG ... P4/mmm (123)
Energy of formation from the pure elements ... -0.185 eV/atom
Calculated volume ... 185.5 Å³/cell
Energy relative to the lowest polymorph listed for this composition ... 0.5 kJ per mole of atoms

Lattice parameters (Å, degrees): 3.961 3.961 11.827 90.00 90.00 90.00
Element x y z (fractional)
La (0.000, 0.000, 0.000)
La (0.000, 0.000, 0.335)
La (0.000, 0.000, 0.665)
Mg (0.500, 0.500, 0.165)
Mg (0.500, 0.500, 0.835)
Cd (0.500, 0.500, 0.500)